No. 1
## ScNiI (PBE)

Data for crystalline ScNiI at its relaxed geometry.

Magnetization   0.0 μB/cell
Space-group type   P-1
Formation energy without anion corrections   -0.68 eV/atom

a b c (Å): 3.6464 3.9061 10.3524
angles (deg): 89.89 79.94 90.00
Last column: nearest neighbours and their distance in Å.
Atoms (fractional coordinates):
Sc (0.0664, 0.2514, 0.3656)  6 Ni 2.74-2.76
Sc (0.9336, 0.7486, 0.6344)  6 Ni 2.74-2.76
Ni (0.4667, 0.2486, 0.5669)  2 Ni 2.37-2.39, 1 I 2.56
Ni (0.5333, 0.7514, 0.4331)  2 Ni 2.37-2.39, 1 I 2.56
I (0.3475, 0.2520, 0.8182)  1 Ni 2.56
I (0.6525, 0.7480, 0.1818)  1 Ni 2.56

=====

No. 2
## TlGa3Os (PBE)

Data for crystalline TlGa3Os at its relaxed geometry.

Formation energy   -0.1 eV/f.u.
Magnetization   0.0 μB/cell
Space-group type   Pm-3m

a b c (Å): 4.8804 4.8804 4.8804
angles (deg): 90.00 90.00 90.00
Last column: nearest neighbours and their distance in Å.
Atoms (fractional coordinates):
Tl (0.0000, 0.0000, 0.0000)  12 Ga 3.45
Ga (0.0000, 0.5000, 0.5000)  2 Os 2.44
Ga (0.5000, 0.0000, 0.5000)  2 Os 2.44
Ga (0.5000, 0.5000, 0.0000)  2 Os 2.44
Os (0.5000, 0.5000, 0.5000)  6 Ga 2.44

=====

No. 3
## TaTl3Bi (PBE)

Data for crystalline TaTl3Bi at its relaxed geometry.

Formation energy   4.0 eV/f.u.
Magnetization   0.0 μB/cell
Space-group type   Pm-3m

a b c (Å): 5.5214 5.5214 5.5214
angles (deg): 90.00 90.00 90.00
Last column: nearest neighbours and their distance in Å.
Atoms (fractional coordinates):
Ta (0.0000, 0.0000, 0.0000)  6 Tl 2.76
Tl (0.0000, 0.0000, 0.5000)  2 Ta 2.76
Tl (0.0000, 0.5000, 0.0000)  2 Ta 2.76
Tl (0.5000, 0.0000, 0.0000)  2 Ta 2.76
Bi (0.5000, 0.5000, 0.5000)  12 Tl 3.90

=====

No. 4
## SrAu (PBE)

Data for crystalline SrAu at its relaxed geometry.

Formation energy   -1.2 eV/f.u.
Magnetization   0.0 μB/cell
Space-group type   I4/m

a b c (Å): 7.1485 7.1485 7.1485
angles (deg): 100.58 100.58 129.25
Last column: nearest neighbours and their distance in Å.
Atoms (fractional coordinates):
Sr (0.0752, 0.7034, 0.7786)  5 Au 3.16-3.51
Sr (0.2966, 0.0752, 0.3718)  5 Au 3.16-3.51
Sr (0.7034, 0.9248, 0.6282)  5 Au 3.16-3.51
Sr (0.9248, 0.2966, 0.2214)  5 Au 3.16-3.51
Au (0.2863, 0.4278, 0.7142)  2 Au 2.91, 4 Sr 3.16-3.22
Au (0.4278, 0.7137, 0.1415)  2 Au 2.91, 4 Sr 3.16-3.22
Au (0.5722, 0.2863, 0.8585)  2 Au 2.91, 4 Sr 3.16-3.22
Au (0.7137, 0.5722, 0.2858)  2 Au 2.91, 4 Sr 3.16-3.22

=====

No. 5
## Hf3RuN (PBE)

Data for crystalline Hf3RuN at its relaxed geometry.

Magnetization   0.0 μB/cell
Space-group type   Pm-3m
Formation energy without anion corrections   -0.82 eV/atom

a b c (Å): 4.3712 4.3712 4.3712
angles (deg): 90.00 90.00 90.00
Last column: nearest neighbours and their distance in Å.
Atoms (fractional coordinates):
Hf (0.0000, 0.0000, 0.5000)  2 N 2.19
Hf (0.0000, 0.5000, 0.0000)  2 N 2.19
Hf (0.5000, 0.0000, 0.0000)  2 N 2.19
Ru (0.5000, 0.5000, 0.5000)  12 Hf 3.09
N (0.0000, 0.0000, 0.0000)  6 Hf 2.19

=====

No. 6
## BeTe2P (PBE)

Data for crystalline BeTe2P at its relaxed geometry.

Magnetization   0.0 μB/cell
Space-group type   Imm2
Formation energy without anion corrections   0.35 eV/atom

a b c (Å): 6.6419 6.6419 6.6419
angles (deg): 147.64 142.01 50.74
Last column: nearest neighbours and their distance in Å.
Atoms (fractional coordinates):
Be (0.0000, 0.0000, 0.0000)  2 P 2.07
Te (0.4141, 0.4141, 0.0000)  2 P 2.91, 2 Te 3.01, 4 Be 3.03
Te (0.7401, 0.2401, 0.5000)  2 Te 3.01
P (0.0769, 0.5769, 0.5000)  2 Be 2.07